Material: CaTc2Br
Method: DFT, meta-GGA SCAN
State: single point on PBEsol structure

```
data_CaTc2Br
_chemical_formula_sum 'Ca1 Tc2 Br1'
_cell_length_a 3.076
_cell_length_b 3.076
_cell_length_c 7.507
_cell_angle_alpha 90.00
_cell_angle_beta 90.00
_cell_angle_gamma 90.00
_space_group_name_H-M_alt 'P 4/m m m'
_space_group_IT_number 123
_space_group_name_Hall '-P 4 2'
loop_
_atom_site_label
_atom_site_fract_x
_atom_site_fract_y
_atom_site_fract_z
Ca1 0.000 0.000 0.000
Tc1 0.500 0.500 0.305
Br1 0.000 0.000 0.500
```

Calculated values
Size of the total moment   0.000 μB/atom
Calculated volume   71.0 Å³/cell
Uncorrected formation energy   107.5 kJ/mol of atoms
Energy above the lowest structure with this stoichiometry   0 meV/atom
Calculated total energy   -94.8 eV/cell